Eu2NiI | PBE-GGA | relaxed

Unit cell a=4.2137 b=4.2137 c=24.1262 alpha=90.00 beta=90.00 gamma=120.00
Space group R-3m (No. 166, hexagonal axes)
One atom of each set of equivalent atoms:
Eu: 0.0000 0.0000 0.2315 (multiplicity 6)
Ni: 0.0000 0.0000 0.5000 (multiplicity 3)
I: 0.0000 0.0000 0.0000 (multiplicity 3)

Properties
* ΔE_f (raw): -0.6278 eV/atom
* crystal system: trigonal
* excess energy over the best structure of this formula in the dataset: 0 meV per atom
* theoretical density: 6.574 g/cm³
* total DFT energy (no corrections): -91.2 eV per cell

=====

Eu3Ni5I12 | PBE-GGA | relaxed

Unit cell a=17.254 b=17.254 c=17.254 alpha=90.00 beta=90.00 gamma=90.00
Space group Ia-3d (No. 230)
One atom of each set of equivalent atoms:
Eu: 0.000 0.250 0.125 (multiplicity 24)
Ni: 0.000 0.000 0.000 (multiplicity 16)
Ni: 0.000 0.250 0.375 (multiplicity 24)
I: 0.032 0.053 0.648 (multiplicity 96)

Properties
* ΔE_f (raw): -0.5984 eV/atom
* crystal system: cubic
* theoretical density: 5.876 g/cm³
* total DFT energy (no corrections): -722.4 eV per cell

=====

EuIO | PBE-GGA | relaxed

Unit cell a=3.9586 b=3.9586 c=5.4114 alpha=90.00 beta=90.00 gamma=120.00
Space group P-6m2 (No. 187)
One atom of each set of equivalent atoms:
Eu: 0.0000 0.0000 0.0000 (multiplicity 1)
I: 0.6667 0.3333 0.5000 (multiplicity 1)
O: 0.3333 0.6667 0.0000 (multiplicity 1)

Properties
* ΔE_f (raw): -1.9307 eV/atom
* crystal system: hexagonal
* theoretical density: 6.667 g/cm³
* total DFT energy (no corrections): -22.6 eV per cell

=====

Copy entry 1 word for word.
Eu2NiI | PBE-GGA | relaxed

Unit cell a=4.2137 b=4.2137 c=24.1262 alpha=90.00 beta=90.00 gamma=120.00
Space group R-3m (No. 166, hexagonal axes)
One atom of each set of equivalent atoms:
Eu: 0.0000 0.0000 0.2315 (multiplicity 6)
Ni: 0.0000 0.0000 0.5000 (multiplicity 3)
I: 0.0000 0.0000 0.0000 (multiplicity 3)

Properties
* ΔE_f (raw): -0.6278 eV/atom
* crystal system: trigonal
* excess energy over the best structure of this formula in the dataset: 0 meV per atom
* theoretical density: 6.574 g/cm³
* total DFT energy (no corrections): -91.2 eV per cell

=====

The highest theoretical density belongs to which entry?
EuIO

=====

What is the total DFT energy (no corrections) in the second record?
-722.4 eV per cell

=====

Which value of theoretical density does entry 2 give?
5.876 g/cm³